Record 1
Computed, not measured: an optimized crystal structure of HoIr2O8 at the GGA-PBE level of DFT.

Results
theoretical density	9.00	g/cm3
volume	11.4	Å³/atom
energy relative to the elements, uncorrected	-1.020	eV/atom

a b c (Å): 5.337 3.899 6.168
angles (deg): 90.00 103.26 90.00
Fractional coordinates of all 11 atoms:
Ho 0.000 0.000 0.000
Ir 0.497 0.500 0.747
Ir 0.503 0.500 0.253
O 0.045 0.000 0.413
O 0.233 0.500 0.945
O 0.271 0.500 0.453
O 0.438 0.000 0.204
O 0.562 0.000 0.796
O 0.729 0.500 0.547
O 0.767 0.500 0.055
O 0.955 0.000 0.587

Record 2
Computed, not measured: an optimized crystal structure of Ho6BiAs5 at the GGA-PBE level of DFT.

Results
energy of formation	-1.3875	eV per atom
theoretical density	8.55	g/cm3
volume	25.5	Å³/atom

a b c (Å): 7.209 7.209 7.199
angles (deg): 99.63 99.63 119.92
Fractional coordinates of all 12 atoms:
Ho 0.066 0.414 0.743
Ho 0.237 0.237 0.256
Ho 0.414 0.066 0.743
Ho 0.586 0.934 0.257
Ho 0.763 0.763 0.744
Ho 0.934 0.586 0.257
Bi 0.500 0.500 0.000
As 0.000 0.000 0.500
As 0.167 0.833 0.000
As 0.337 0.663 0.500
As 0.663 0.337 0.500
As 0.833 0.167 0.000

Record 3
Computed, not measured: an optimized crystal structure of Cd6Pt23 at the GGA-PBE level of DFT.

Results
energy of formation	-0.0693	eV per atom
theoretical density	16.68	g/cm3
volume	17.7	Å³/atom

a b c (Å): 8.991 8.991 8.991
angles (deg): 60.00 60.00 60.00
Fractional coordinates of all 29 atoms:
Cd 0.214 0.214 0.786
Cd 0.214 0.786 0.214
Cd 0.214 0.786 0.786
Cd 0.786 0.214 0.214
Cd 0.786 0.214 0.786
Cd 0.786 0.786 0.214
Pt 0.000 0.000 0.500
Pt 0.000 0.500 0.000
Pt 0.000 0.500 0.500
Pt 0.137 0.621 0.621
Pt 0.161 0.161 0.161
Pt 0.161 0.161 0.518
Pt 0.161 0.518 0.161
Pt 0.379 0.379 0.379
Pt 0.379 0.379 0.863
Pt 0.379 0.863 0.379
Pt 0.482 0.839 0.839
Pt 0.500 0.000 0.000
Pt 0.500 0.000 0.500
Pt 0.500 0.500 0.000
Pt 0.500 0.500 0.500
Pt 0.518 0.161 0.161
Pt 0.621 0.137 0.621
Pt 0.621 0.621 0.137
Pt 0.621 0.621 0.621
Pt 0.839 0.482 0.839
Pt 0.839 0.839 0.482
Pt 0.839 0.839 0.839
Pt 0.863 0.379 0.379

Record 4
Computed, not measured: an optimized crystal structure of Ca2CoSe at the GGA-PBE level of DFT.

Results
theoretical density	3.51	g/cm3
volume	25.8	Å³/atom
energy relative to the elements, uncorrected	-0.469	eV/atom

a b c (Å): 4.167 4.167 5.945
angles (deg): 90.00 90.00 90.00
Fractional coordinates of all 4 atoms:
Ca 0.000 0.000 0.000
Ca 0.500 0.500 0.488
Co 0.000 0.000 0.498
Se 0.500 0.500 0.988

Record 5
Computed, not measured: an optimized crystal structure of AcPm2Tl2Ag2 at the GGA-PBE level of DFT.

Results
energy of formation	-0.2311	eV per atom
theoretical density	9.22	g/cm3
volume	29.4	Å³/atom

a b c (Å): 9.943 9.943 9.943
angles (deg): 29.09 29.09 29.09
Fractional coordinates of all 7 atoms:
Ac 0.000 0.000 0.000
Pm 0.127 0.127 0.127
Pm 0.873 0.873 0.873
Tl 0.254 0.254 0.254
Tl 0.746 0.746 0.746
Ag 0.409 0.409 0.409
Ag 0.591 0.591 0.591

Record 6
Computed, not measured: an optimized crystal structure of CaIr2Os at the GGA-PBE level of DFT.

Results
energy of formation	0.3557	eV per atom
theoretical density	15.61	g/cm3
volume	16.3	Å³/atom

a b c (Å): 9.437 9.437 9.437
angles (deg): 17.37 17.37 17.37
Fractional coordinates of all 4 atoms:
Ca 0.000 0.000 0.000
Ir 0.243 0.243 0.243
Ir 0.757 0.757 0.757
Os 0.500 0.500 0.500

Record 7
Computed, not measured: an optimized crystal structure of TeW2N at the GGA-PBE level of DFT.

Results
theoretical density	11.35	g/cm3
volume	18.6	Å³/atom
energy relative to the elements, uncorrected	0.536	eV/atom

a b c (Å): 7.048 7.048 7.048
angles (deg): 139.03 139.03 59.33
Fractional coordinates of all 8 atoms:
Te 0.000 0.000 0.000
Te 0.750 0.250 0.500
W 0.262 0.625 0.137
W 0.375 0.512 0.637
W 0.488 0.125 0.863
W 0.875 0.738 0.363
N 0.250 0.750 0.500
N 0.500 0.500 0.000

Record 8
Computed, not measured: an optimized crystal structure of TmCrAs3 at the GGA-PBE level of DFT.

Results
energy of formation	-0.6468	eV per atom
theoretical density	7.96	g/cm3
volume	18.6	Å³/atom

a b c (Å): 11.843 5.635 5.570
angles (deg): 90.00 90.00 90.00
Fractional coordinates of all 20 atoms:
Tm 0.187 0.005 0.250
Tm 0.187 0.495 0.750
Tm 0.813 0.505 0.250
Tm 0.813 0.995 0.750
Cr 0.408 0.750 0.000
Cr 0.408 0.750 0.500
Cr 0.592 0.250 0.000
Cr 0.592 0.250 0.500
As 0.002 0.750 0.000
As 0.002 0.750 0.500
As 0.279 0.001 0.750
As 0.279 0.499 0.250
As 0.431 0.108 0.250
As 0.431 0.392 0.750
As 0.569 0.608 0.250
As 0.569 0.892 0.750
As 0.721 0.501 0.750
As 0.721 0.999 0.250
As 0.998 0.250 0.000
As 0.998 0.250 0.500

Record 9
Computed, not measured: an optimized crystal structure of K3HgGe at the GGA-PBE level of DFT.

Results
energy of formation	0.1194	eV per atom
theoretical density	2.30	g/cm3
volume	56.4	Å³/atom

a b c (Å): 6.559 6.559 6.559
angles (deg): 90.00 90.00 90.00
Fractional coordinates of all 5 atoms:
K 0.000 0.000 0.500
K 0.000 0.500 0.000
K 0.500 0.000 0.000
Hg 0.500 0.500 0.500
Ge 0.000 0.000 0.000

Record 10
Computed, not measured: an optimized crystal structure of Te2RhPbI at the GGA-PBE level of DFT.

Results
theoretical density	7.56	g/cm3
volume	30.4	Å³/atom
energy relative to the elements, uncorrected	0.066	eV/atom

a b c (Å): 5.300 5.300 5.412
angles (deg): 90.00 90.00 90.00
Fractional coordinates of all 5 atoms:
Te 0.000 0.500 0.000
Te 0.500 0.000 0.000
Rh 0.000 0.000 0.000
Pb 0.500 0.500 0.500
I 0.000 0.000 0.500

Record 11
Computed, not measured: an optimized crystal structure of Ce3SiO2 at the GGA-PBE level of DFT.

Results
theoretical density	7.05	g/cm3
volume	18.9	Å³/atom
energy relative to the elements, uncorrected	-1.946	eV/atom

a b c (Å): 6.505 6.505 6.505
angles (deg): 147.03 130.31 60.93
Fractional coordinates of all 6 atoms:
Ce 0.000 0.000 0.000
Ce 0.310 0.310 0.000
Ce 0.690 0.690 0.000
Si 0.500 0.000 0.500
O 0.162 0.662 0.500
O 0.838 0.338 0.500

Record 12
Computed, not measured: an optimized crystal structure of TcSbBr2 at the GGA-PBE level of DFT.

Results
theoretical density	5.80	g/cm3
volume	27.2	Å³/atom
energy relative to the elements, uncorrected	0.192	eV/atom

a b c (Å): 6.997 6.997 6.997
angles (deg): 97.74 97.74 136.95
Fractional coordinates of all 8 atoms:
Tc 0.000 0.000 0.000
Tc 0.750 0.250 0.500
Sb 0.250 0.750 0.500
Sb 0.500 0.500 0.000
Br 0.375 0.241 0.366
Br 0.759 0.125 0.134
Br 0.875 0.009 0.634
Br 0.991 0.625 0.866

Record 13
Computed, not measured: an optimized crystal structure of LiAg2Cl at the GGA-PBE level of DFT.

Results
theoretical density	4.58	g/cm3
volume	23.4	Å³/atom
energy relative to the elements, uncorrected	-0.455	eV/atom

a b c (Å): 7.179 7.179 7.179
angles (deg): 149.76 149.76 43.29
Fractional coordinates of all 4 atoms:
Li 0.000 0.000 0.000
Ag 0.250 0.750 0.500
Ag 0.750 0.250 0.500
Cl 0.500 0.500 0.000

Record 14
Computed, not measured: an optimized crystal structure of Na2HfOs3O12 at the GGA-PBE level of DFT.

Results
theoretical density	5.90	g/cm3
volume	15.4	Å³/atom
energy relative to the elements, uncorrected	-1.475	eV/atom

a b c (Å): 7.399 7.399 7.399
angles (deg): 58.66 58.66 58.66
Fractional coordinates of all 18 atoms:
Na 0.192 0.192 0.192
Na 0.808 0.808 0.808
Hf 0.500 0.500 0.500
Os 0.000 0.500 0.500
Os 0.500 0.000 0.500
Os 0.500 0.500 0.000
O 0.159 0.576 0.576
O 0.195 0.195 0.570
O 0.195 0.570 0.195
O 0.424 0.424 0.841
O 0.424 0.841 0.424
O 0.430 0.805 0.805
O 0.570 0.195 0.195
O 0.576 0.159 0.576
O 0.576 0.576 0.159
O 0.805 0.430 0.805
O 0.805 0.805 0.430
O 0.841 0.424 0.424

Record 15
Computed, not measured: an optimized crystal structure of K2MnIr at the GGA-PBE level of DFT.

Results
energy of formation	1.0561	eV per atom
theoretical density	6.04	g/cm3
volume	22.4	Å³/atom

a b c (Å): 2.915 2.915 11.634
angles (deg): 90.00 90.00 115.13
Fractional coordinates of all 4 atoms:
K 0.000 0.000 0.227
K 0.000 0.000 0.773
Mn 0.500 0.500 0.500
Ir 0.500 0.500 0.000

Record 16
Computed, not measured: an optimized crystal structure of AcNdTl4 at the GGA-PBE level of DFT.

Results
energy of formation	-0.1919	eV per atom
theoretical density	10.12	g/cm3
volume	32.5	Å³/atom

a b c (Å): 4.537 4.537 10.013
angles (deg): 103.27 103.27 84.83
Fractional coordinates of all 6 atoms:
Ac 0.000 0.000 0.000
Nd 0.500 0.500 0.500
Tl 0.000 0.000 0.342
Tl 0.000 0.000 0.658
Tl 0.472 0.472 0.820
Tl 0.528 0.528 0.180

Record 17
Computed, not measured: an optimized crystal structure of PuVBr4 at the GGA-PBE level of DFT.

Results
theoretical density	5.16	g/cm3
volume	33.0	Å³/atom
energy relative to the elements, uncorrected	-1.088	eV/atom

a b c (Å): 7.700 7.700 7.032
angles (deg): 108.98 108.98 30.28
Fractional coordinates of all 6 atoms:
Pu 0.000 0.000 0.000
V 0.500 0.500 0.500
Br 0.108 0.108 0.438
Br 0.382 0.382 0.112
Br 0.618 0.618 0.888
Br 0.892 0.892 0.562

Record 18
Computed, not measured: an optimized crystal structure of Tb6NdSm4 at the GGA-PBE level of DFT.

Results
energy of formation	0.4250	eV per atom
theoretical density	7.23	g/cm3
volume	35.5	Å³/atom

a b c (Å): 8.526 8.526 8.526
angles (deg): 126.14 126.14 79.65
Fractional coordinates of all 11 atoms:
Tb 0.000 0.500 0.500
Tb 0.058 0.569 0.000
Tb 0.431 0.431 0.489
Tb 0.500 0.000 0.500
Tb 0.569 0.058 0.000
Tb 0.942 0.942 0.511
Nd 0.000 0.000 0.000
Sm 0.253 0.253 0.658
Sm 0.405 0.747 0.000
Sm 0.595 0.595 0.342
Sm 0.747 0.405 0.000

Record 19
Computed, not measured: an optimized crystal structure of YHo2Ag4 at the GGA-PBE level of DFT.

Results
energy of formation	-0.0984	eV per atom
theoretical density	7.79	g/cm3
volume	25.9	Å³/atom

a b c (Å): 6.176 6.176 6.176
angles (deg): 109.09 109.09 110.23
Fractional coordinates of all 7 atoms:
Y 0.000 0.000 0.000
Ho 0.000 0.500 0.500
Ho 0.500 0.000 0.500
Ag 0.000 0.000 0.500
Ag 0.000 0.500 0.000
Ag 0.500 0.000 0.000
Ag 0.500 0.500 0.500

Record 20
Computed, not measured: an optimized crystal structure of Ga3PW at the GGA-PBE level of DFT.

Results
energy of formation	1.2299	eV per atom
theoretical density	7.27	g/cm3
volume	19.4	Å³/atom

a b c (Å): 4.593 4.593 4.593
angles (deg): 90.00 90.00 90.00
Fractional coordinates of all 5 atoms:
Ga 0.000 0.000 0.500
Ga 0.000 0.500 0.000
Ga 0.500 0.000 0.000
P 0.000 0.000 0.000
W 0.500 0.500 0.500

Record 21
Computed, not measured: an optimized crystal structure of Ac2Sn3Ge2 at the GGA-PBE level of DFT.

Results
energy of formation	-0.5259	eV per atom
theoretical density	7.98	g/cm3
volume	28.4	Å³/atom

a b c (Å): 6.433 6.433 7.426
angles (deg): 96.98 96.98 40.70
Fractional coordinates of all 7 atoms:
Ac 0.127 0.127 0.316
Ac 0.873 0.873 0.684
Sn 0.176 0.176 0.850
Sn 0.500 0.500 0.000
Sn 0.824 0.824 0.150
Ge 0.410 0.410 0.378
Ge 0.590 0.590 0.622

Record 22
Computed, not measured: an optimized crystal structure of Ti4PdN2 at the GGA-PBE level of DFT.

Results
theoretical density	6.11	g/cm3
volume	12.7	Å³/atom
energy relative to the elements, uncorrected	-1.209	eV/atom

a b c (Å): 5.441 5.441 11.029
angles (deg): 90.00 90.00 147.13
Fractional coordinates of all 14 atoms:
Ti 0.000 0.000 0.000
Ti 0.000 0.000 0.500
Ti 0.259 0.741 0.603
Ti 0.259 0.741 0.897
Ti 0.414 0.586 0.250
Ti 0.586 0.414 0.750
Ti 0.741 0.259 0.103
Ti 0.741 0.259 0.397
Pd 0.109 0.891 0.250
Pd 0.891 0.109 0.750
N 0.367 0.633 0.060
N 0.367 0.633 0.440
N 0.633 0.367 0.560
N 0.633 0.367 0.940

Record 23
Computed, not measured: an optimized crystal structure of CeHoGe2 at the GGA-PBE level of DFT.

Results
energy of formation	-0.5715	eV per atom
theoretical density	7.02	g/cm3
volume	26.6	Å³/atom

a b c (Å): 6.870 6.870 6.870
angles (deg): 37.26 37.26 37.26
Fractional coordinates of all 4 atoms:
Ce 0.000 0.000 0.000
Ho 0.826 0.826 0.826
Ge 0.420 0.420 0.420
Ge 0.575 0.575 0.575

Record 24
Computed, not measured: an optimized crystal structure of CsZnTcGe2 at the GGA-PBE level of DFT.

Results
energy of formation	-0.0066	eV per atom
theoretical density	5.90	g/cm3
volume	24.8	Å³/atom

a b c (Å): 4.874 4.874 5.229
angles (deg): 90.00 90.00 90.00
Fractional coordinates of all 5 atoms:
Cs 0.000 0.000 0.000
Zn 0.500 0.500 0.000
Tc 0.500 0.500 0.500
Ge 0.000 0.500 0.500
Ge 0.500 0.000 0.500

Number 1: size of the total moment 0.04 μB/cell. Number 2: size of the total moment 0.00 μB/cell. Number 3: size of the total moment 0.00 μB/cell. Number 4: size of the total moment 1.01 μB/cell. Number 5: size of the total moment 0.00 μB/cell. Number 6: size of the total moment 0.00 μB/cell. Number 7: size of the total moment 0.00 μB/cell. Number 8: size of the total moment 6.17 μB/cell. Number 9: size of the total moment 1.00 μB/cell. Number 10: size of the total moment 0.00 μB/cell. Number 11: size of the total moment 0.82 μB/cell. Number 12: size of the total moment 0.00 μB/cell. Number 13: size of the total moment 0.00 μB/cell. Number 14: size of the total moment 1.05 μB/cell. Number 15: size of the total moment 3.98 μB/cell. Number 16: size of the total moment 0.00 μB/cell. Number 17: size of the total moment 9.00 μB/cell. Number 18: size of the total moment 0.00 μB/cell. Number 19: size of the total moment 0.00 μB/cell. Number 20: size of the total moment 0.00 μB/cell. Number 21: size of the total moment 0.00 μB/cell. Number 22: size of the total moment 0.00 μB/cell. Number 23: size of the total moment 0.47 μB/cell. Number 24: size of the total moment 0.00 μB/cell.